No. 1
Compound: MnInP2Cl
Source: Alexandria
Functional: PBE
Structure: relaxed

Structure (POSCAR):
```
MnInP2Cl
1.0
-1.569 -3.705 1.617
3.447 -2.132 -1.541
2.515 0.867 4.427
Mn P In Cl
1 2 1 1
direct
0.000 0.000 0.000 Mn
0.500 0.000 0.000 P
0.000 0.500 0.000 P
0.500 0.500 0.500 In
0.000 0.000 0.500 Cl
```

Total moment: 0.99 μB per formula unit
Mass density: 4.6 g/cm³
E_form (uncorrected): 0.103 eV/atom
Space-group type: P4/mmm, No. 123
Density of states at the Fermi level: 3.759 states/eV/cell



No. 2
Compound: MnInP2Cl
Source: Alexandria
Functional: PBE
Structure: relaxed

Structure (POSCAR):
```
MnInP2Cl
1.0
-2.783 -2.912 3.036
0.388 -3.802 -3.291
4.239 -1.601 2.350
P In Cl Mn
2 1 1 1
direct
0.500 0.000 0.000 P
0.000 0.500 0.000 P
0.000 0.000 0.000 In
0.000 0.000 0.500 Cl
0.500 0.500 0.500 Mn
```

Total moment: 4.13 μB per formula unit
Mass density: 3.4 g/cm³
E_form (uncorrected): 0.841 eV/atom
Space-group type: P4/mmm, No. 123
Density of states at the Fermi level: 3.726 states/eV/cell



No. 3
Compound: MnIn2PbCl6
Source: Alexandria
Functional: PBE
Structure: relaxed

Structure (POSCAR):
```
MnIn2PbCl6
1.0
-7.244 -0.636 -2.334
-1.621 -3.736 -6.465
-3.495 -6.503 0.114
Pb Cl In Mn
1 6 2 1
direct
0.816 0.816 0.552 Pb
0.101 0.471 0.801 Cl
0.472 0.626 0.800 Cl
0.006 0.531 0.302 Cl
0.531 0.161 0.302 Cl
0.161 0.006 0.303 Cl
0.626 0.101 0.801 Cl
0.540 0.540 0.380 In
0.092 0.093 0.722 In
0.316 0.316 0.052 Mn
```

Total moment: 5.00 μB per formula unit
Mass density: 3.9 g/cm³
E_form (uncorrected): -0.987 eV/atom
Space-group type: P-1, No. 2
Density of states at the Fermi level: 0.000 states/eV/cell